Entry 1:
DFT (PBE) results for a relaxed structure of HgCNF2.

abc: 4.8210 4.8210 2.5218
angles: 90.00 90.00 90.00
Fractional coordinates of all 5 atoms:
Hg  0.0000  0.0000  0.0000
C  0.5000  0.5000  0.5000
N  0.5000  0.5000  0.0000
F  0.0000  0.5000  0.5000
F  0.5000  0.0000  0.5000

ΔE to the lowest computed polymorph (eV per formula unit): 0.00
V (Å³ per cell): 58.6
Size of the total moment (μB per cell): 0.00



Entry 2:
DFT (PBE) results for a relaxed structure of NaGe2PdO6.

abc: 7.2117 7.2117 5.6632
angles: 104.17 104.17 83.78
Fractional coordinates of all 20 atoms:
Na  0.0967  0.9033  0.7500
Na  0.9033  0.0967  0.2500
Ge  0.1987  0.3777  0.8491
Ge  0.3777  0.1987  0.3491
Ge  0.6223  0.8013  0.6509
Ge  0.8013  0.6223  0.1509
Pd  0.2643  0.7357  0.2500
Pd  0.7357  0.2643  0.7500
O  0.0170  0.2224  0.6823
O  0.1438  0.6249  0.8879
O  0.2224  0.0170  0.1823
O  0.3053  0.3883  0.1795
O  0.3751  0.8562  0.6121
O  0.3883  0.3053  0.6795
O  0.6117  0.6947  0.3205
O  0.6249  0.1438  0.3879
O  0.6947  0.6117  0.8205
O  0.7776  0.9830  0.8177
O  0.8562  0.3751  0.1121
O  0.9830  0.7776  0.3177

Total DFT energy (no corrections) (eV for the cell shown): -116.260
V (Å³ per cell): 276.5
Size of the total moment (μB per cell): 2.02



Entry 3:
DFT (PBE) results for a relaxed structure of CrSb2Au.

abc: 8.4597 8.4597 8.4597
angles: 22.99 22.99 22.99
Fractional coordinates of all 4 atoms:
Cr  0.0000  0.0000  0.0000
Sb  0.2584  0.2584  0.2584
Sb  0.7416  0.7416  0.7416
Au  0.5000  0.5000  0.5000

Total DFT energy (no corrections) (eV for the cell shown): -20.123
V (Å³ per cell): 81.1
Size of the total moment (μB per cell): 0.82